1.
First-principles (PBE-GGA) data for a relaxed structure of YTcMo2, as listed in the Alexandria database.

Calculated density = 8.5 g cm⁻³
ΔE to the lowest computed polymorph = 124.8 meV per atom

Cell and atoms, written as CIF:
```
data_YTcMo2
_chemical_formula_sum 'Y1 Tc1 Mo2'
_cell_length_a 3.020
_cell_length_b 4.247
_cell_length_c 5.932
_cell_angle_alpha 90.00
_cell_angle_beta 102.29
_cell_angle_gamma 90.00
_space_group_name_H-M_alt 'P 1 m 1'
_space_group_IT_number 6
loop_
_space_group_symop_operation_xyz
'x,y,z'
'x,-y,z'
loop_
_atom_site_label
_atom_site_fract_x
_atom_site_fract_y
_atom_site_fract_z
Y1 0.000 0.000 0.000
Tc1 0.268 0.500 0.704
Mo1 0.497 0.000 0.507
Mo2 0.718 0.500 0.308
```

2.
First-principles (PBE-GGA) data for a relaxed structure of YTcMo, as listed in the Alexandria database.

Calculated density = 8.3 g cm⁻³
ΔE to the lowest computed polymorph = 433.6 meV per atom

Cell and atoms, written as CIF:
```
data_YTcMo
_chemical_formula_sum 'Y4 Tc4 Mo4'
_cell_length_a 3.326
_cell_length_b 4.915
_cell_length_c 13.801
_cell_angle_alpha 90.00
_cell_angle_beta 90.00
_cell_angle_gamma 90.00
_space_group_name_H-M_alt 'F m m 2'
_space_group_IT_number 42
_space_group_name_Hall 'F 2 -2'
loop_
_atom_site_label
_atom_site_fract_x
_atom_site_fract_y
_atom_site_fract_z
Y1 0.000 0.000 0.000
Tc1 0.000 0.000 0.676
Mo1 0.000 0.000 0.313
```

3.
First-principles (PBE-GGA) data for a relaxed structure of YTc2Mo, as listed in the Alexandria database.

Total DFT energy (no corrections) = -9.16 eV per atom
Calculated density = 9.1 g cm⁻³

Cell and atoms, written as CIF:
```
data_YTc2Mo
_chemical_formula_sum 'Y1 Tc2 Mo1'
_cell_length_a 3.221
_cell_length_b 4.488
_cell_length_c 4.785
_cell_angle_alpha 90.00
_cell_angle_beta 90.00
_cell_angle_gamma 90.00
_space_group_name_H-M_alt 'P m m m'
_space_group_IT_number 47
loop_
_space_group_symop_operation_xyz
'x,y,z'
'-x,-y,-z'
'-x,-y,z'
'x,y,-z'
'x,-y,-z'
'-x,y,z'
'-x,y,-z'
'x,-y,z'
loop_
_atom_site_label
_atom_site_fract_x
_atom_site_fract_y
_atom_site_fract_z
Y1 0.000 0.000 0.000
Tc1 0.000 0.500 0.500
Tc2 0.500 0.500 0.000
Mo1 0.500 0.000 0.500
```

4.
First-principles (PBE-GGA) data for a relaxed structure of YTc4Mo, as listed in the Alexandria database.

Total DFT energy (no corrections) = -9.68 eV per atom
Calculated density = 9.4 g cm⁻³

Cell and atoms, written as CIF:
```
data_YTc4Mo
_chemical_formula_sum 'Y4 Tc16 Mo4'
_cell_length_a 7.419
_cell_length_b 7.419
_cell_length_c 7.419
_cell_angle_alpha 90.00
_cell_angle_beta 90.00
_cell_angle_gamma 90.00
_space_group_name_H-M_alt 'F -4 3 m'
_space_group_IT_number 216
_space_group_name_Hall 'F -4 2 3'
loop_
_atom_site_label
_atom_site_fract_x
_atom_site_fract_y
_atom_site_fract_z
Y1 0.000 0.000 0.000
Tc1 0.125 0.125 0.375
Mo1 0.250 0.250 0.750
```

5.
First-principles (PBE-GGA) data for a relaxed structure of YTcMo2, as listed in the Alexandria database.

Calculated density = 8.8 g cm⁻³
ΔE to the lowest computed polymorph = 33.2 meV per atom

Cell and atoms, written as CIF:
```
data_YTcMo2
_chemical_formula_sum 'Y2 Tc2 Mo4'
_cell_length_a 3.238
_cell_length_b 4.648
_cell_length_c 9.466
_cell_angle_alpha 90.00
_cell_angle_beta 90.00
_cell_angle_gamma 90.00
_space_group_name_H-M_alt 'I m m m'
_space_group_IT_number 71
_space_group_name_Hall '-I 2 2'
loop_
_atom_site_label
_atom_site_fract_x
_atom_site_fract_y
_atom_site_fract_z
Y1 0.000 0.000 0.000
Tc1 0.000 0.000 0.500
Mo1 0.000 0.500 0.233
```

6.
First-principles (PBE-GGA) data for a relaxed structure of YTcMo2, as listed in the Alexandria database.

Calculated density = 9.0 g cm⁻³
ΔE to the lowest computed polymorph = 260.2 meV per atom

Cell and atoms, written as CIF:
```
data_YTcMo2
_chemical_formula_sum 'Y1 Tc1 Mo2'
_cell_length_a 4.644
_cell_length_b 4.644
_cell_length_c 3.248
_cell_angle_alpha 90.00
_cell_angle_beta 90.00
_cell_angle_gamma 90.00
_space_group_name_H-M_alt 'P 4/m m m'
_space_group_IT_number 123
_space_group_name_Hall '-P 4 2'
loop_
_atom_site_label
_atom_site_fract_x
_atom_site_fract_y
_atom_site_fract_z
Y1 0.000 0.000 0.000
Tc1 0.500 0.500 0.000
Mo1 0.000 0.500 0.500
```

Question: The highest calculated density belongs to which entry?
Answer: YTc4Mo